No. 1
18
Lattice="7.2511 -0.2158 -2.8469 -3.8654 6.4437 -2.0656 -0.0795 0.2158 7.7895" Properties=species:S:1:pos:R:3 comment="ThSc12Co5 (PBE, relaxed)" ef_kj_per_mol_atoms=-17 pbc="T T T"
Sc 0.7111 5.3131 2.4039
Sc -2.4996 5.3131 0.1912
Co 3.1191 0.7878 3.1485
Co 2.1874 4.0238 -3.1739
Sc -0.4678 4.5620 5.4612
Sc -0.2124 2.6391 0.3082
Sc 5.8057 1.1306 2.6859
Co 0.0000 0.0000 0.0000
Sc 2.5951 1.1306 0.4731
Co 0.1871 5.6559 -0.2714
Sc 3.7739 1.8817 -2.5842
Sc 0.9921 2.0975 3.3430
Sc 3.5186 3.8046 2.5688
Sc 5.7457 0.0450 -0.6627
Co 1.1982 2.2041 -1.7386
Sc 2.3140 4.3462 -0.4659
Th -1.9725 3.3298 2.8620
Sc -2.4395 6.3987 3.5397

No. 2
10
Lattice="-4.7425 -0.8555 -1.9871 -1.0600 -2.7948 -7.3138 3.0677 -3.9942 1.0793" Properties=species:S:1:pos:R:3 comment="MnReRu3 (PBE, relaxed)" ef_kj_per_mol_atoms=33 polymorph_energy_ev_per_atom=0.000 pbc="T T T"
Re -1.3185 -4.6123 -7.2632
Ru -3.6991 -4.9222 -8.1828
Mn -3.1218 -5.6317 -5.9314
Mn -2.5917 -4.2343 -2.2745
Re -3.2501 -1.8013 -3.6920
Ru -0.0797 -6.4297 -5.2296
Ru -0.8696 -1.4915 -2.7724
Ru 0.5727 -3.3634 -2.2673
Ru -2.0737 -7.0445 -7.6085
Ru -1.4213 -3.9782 -4.6462

No. 3
10
Lattice="-5.5264 -3.9716 -2.7366 0.7079 -3.2579 -6.5342 0.7738 -7.7261 -0.1822" Properties=species:S:1:pos:R:3 comment="KLiPb2Cl6 (PBE, relaxed)" total_energy_ev_per_atom=-3.58 pbc="T T T"
Cl -4.6319 -7.5104 -6.4652
Cl -0.4106 -5.8333 -6.8546
Cl -1.0637 -9.7119 -5.7926
Pb 0.7026 -7.5667 -0.2696
Cl -3.1882 -9.1501 -3.0252
K -3.4413 -10.3055 -7.5882
Cl -2.8939 -4.9144 -3.1439
Cl 0.0481 -7.7339 -3.0847
Pb -2.1633 -7.1630 -4.8988
Li -1.5388 -2.5599 -3.0080

No. 4
33
Lattice="10.2634 -0.0257 0.0205 4.4753 9.2368 -0.0209 -6.0142 -6.7745 4.8253" Properties=species:S:1:pos:R:3 comment="K3Na4Si3BF22 (PBE, relaxed)" total_energy_ev_per_atom=-5.30 pbc="T T T"
F 12.2075 5.7875 0.9437
B 1.3489 -2.1589 1.5384
F -1.5055 -4.6530 3.7556
F 7.0221 0.3636 3.9157
F 4.1871 0.7753 0.9437
F 6.9184 3.0109 2.0849
F -3.7233 -3.7392 4.0033
F 1.9402 1.6923 1.1803
K 2.2935 0.5377 3.7384
F 9.6631 3.2507 0.0162
F 7.8918 -1.0277 1.2007
F 0.6553 -1.0480 2.1016
K 4.0423 -6.4686 4.6095
F 5.7662 7.1717 0.0962
F 7.5020 4.3939 0.1507
F 3.8392 3.1925 1.0201
F 9.0482 1.9175 1.9150
K -1.4888 -1.8257 3.7384
F 5.1919 5.8862 1.9258
F 10.1868 7.1588 1.0201
F 4.8418 -0.6869 3.7558
Na 6.3150 0.6247 1.7022
F 2.6972 -2.1142 1.9473
F 1.0707 3.0838 3.8953
Si 11.6218 7.1239 0.0711
F 7.5811 1.9505 0.0157
Si 3.2420 1.8869 0.0712
Na 4.9553 3.8187 2.9094
Si 8.2651 3.1720 1.0212
F 4.9918 1.7073 4.0030
Na 1.1474 3.8342 1.6821
Na 4.6593 -2.8068 2.9305
F 9.0004 4.3111 2.0854

No. 5
11
Lattice="8.4409 0.0000 0.0000 0.0000 6.8892 0.0000 0.0000 -3.4446 5.9662" Properties=species:S:1:pos:R:3 comment="Ho7Tm3Cd (PBE, relaxed)" ef_kj_per_mol_atoms=16 pbc="T T T"
Cd 3.7869 0.0000 3.9775
Ho 1.0112 1.7145 4.9674
Ho 3.7723 1.7558 1.0137
Ho 1.0112 -1.7145 4.9674
Ho 3.7723 5.1334 1.0137
Ho 1.0112 0.0000 1.9977
Tm 6.6201 5.1516 2.9742
Tm 6.6201 1.7376 2.9742
Ho 3.7723 3.4446 3.9388
Tm 6.6201 3.4446 0.0177
Ho 0.9583 3.4446 1.9887

No. 6
10
Lattice="6.9803 0.0000 0.0000 0.0000 6.9803 0.0000 0.0000 0.0000 2.7404" Properties=species:S:1:pos:R:3 comment="Cr2NiRu2 (PBE, relaxed)" ef_kj_per_mol_atoms=27 polymorph_energy_ev_per_atom=0.003 pbc="T T T"
Ru 0.9672 2.5230 0.0000
Cr 5.8494 2.3592 1.3702
Cr 1.1309 4.6210 1.3702
Cr 4.6210 5.8494 1.3702
Cr 2.3592 1.1309 1.3702
Ru 2.5230 6.0131 0.0000
Ru 6.0131 4.4573 0.0000
Ni 0.0000 0.0000 0.0000
Ru 4.4573 0.9672 0.0000
Ni 3.4901 3.4901 0.0000

No. 7
17
Lattice="-3.8127 -6.1111 1.8946 -0.4019 0.9914 -7.3707 7.1264 -0.7964 2.0129" Properties=species:S:1:pos:R:3 comment="PmAl12Cu4 (PBE, relaxed)" ef_kj_per_mol_atoms=5 pbc="T T T"
Al 0.0586 -4.8385 -2.2747
Al 2.8531 -1.0776 -1.1885
Al 0.4372 -3.2151 0.4317
Cu -1.9064 -3.0555 0.9473
Al -1.6565 -3.3331 -4.4873
Pm 0.0000 0.0000 0.0000
Al 3.2418 -4.1941 -0.6992
Al 4.9693 -1.0162 -2.8746
Al 1.4800 -5.3888 1.6613
Al 4.5682 -2.5830 1.0241
Al -0.3301 -1.7220 -2.7640
Cu 1.4559 -2.9580 -1.7316
Cu 3.5632 -0.3982 1.0065
Al 1.4318 -0.5273 -5.1245
Al 2.4745 -2.7010 -3.8949
Al -2.0576 -4.8999 -0.5887
Cu -0.2010 0.4957 -3.6853

No. 8
4
Lattice="-2.3024 2.4564 0.5251 -2.4539 -2.0474 -1.1821 -0.9169 -2.0105 5.3853" Properties=species:S:1:pos:R:3 comment="Ta2MoAs (PBE, relaxed)" ef_kj_per_mol_atoms=-8 pbc="T T T"
Ta -0.9129 -2.0018 5.3620
Ta -2.6200 -0.3257 1.0917
Mo -3.0578 -1.2858 3.6633
As -0.4578 -1.0039 2.6891